Below is a relaxed structure of Fe3H12Rh5, with properties calculated at the PBE level.

Unit cell a=9.188 b=9.188 c=9.188 alpha=109.47 beta=109.47 gamma=109.47
Each line ends with the local moment (μB).
Element x y z (fractional)
Fe: 0.750 0.375 0.125  2.73
Fe: 0.875 0.750 0.125  2.73
Fe: 0.375 0.750 0.625  2.73
Fe: 0.250 0.125 0.375  2.73
Fe: 0.875 0.125 0.250  2.73
Fe: 0.375 0.625 0.250  2.73
Fe: 0.625 0.375 0.750  2.73
Fe: 0.125 0.875 0.750  2.73
Fe: 0.750 0.875 0.625  2.73
Fe: 0.625 0.250 0.375  2.73
Fe: 0.125 0.250 0.875  2.73
Fe: 0.250 0.625 0.875  2.73
Rh: 0.125 0.375 0.250  0.13
Rh: 0.000 0.500 0.000  0.19
Rh: 0.000 0.000 0.000  0.19
Rh: 0.375 0.250 0.125  0.13
Rh: 0.500 0.000 0.500  0.19
Rh: 0.500 0.500 0.000  0.19
Rh: 0.125 0.750 0.375  0.13
Rh: 0.750 0.125 0.875  0.13
Rh: 0.750 0.625 0.375  0.13
Rh: 0.375 0.125 0.750  0.13
Rh: 0.625 0.875 0.250  0.13
Rh: 0.500 0.500 0.500  0.19
Rh: 0.500 0.000 0.000  0.19
Rh: 0.000 0.000 0.500  0.19
Rh: 0.250 0.375 0.625  0.13
Rh: 0.250 0.875 0.125  0.13
Rh: 0.000 0.500 0.500  0.19
Rh: 0.875 0.250 0.625  0.13
Rh: 0.625 0.750 0.875  0.13
Rh: 0.875 0.625 0.750  0.13
H: 0.724 0.137 0.056  -0.01
H: 0.333 0.556 0.419  -0.01
H: 0.944 0.363 0.276  -0.01
H: 0.556 0.224 0.137  -0.01
H: 0.586 0.724 0.667  -0.01
H: 0.944 0.581 0.167  -0.01
H: 0.333 0.776 0.414  -0.01
H: 0.081 0.914 0.137  -0.01
H: 0.581 0.944 0.667  -0.01
H: 0.724 0.586 0.167  -0.01
H: 0.776 0.444 0.363  -0.01
H: 0.833 0.919 0.056  -0.01
H: 0.137 0.724 0.556  -0.01
H: 0.363 0.419 0.086  -0.01
H: 0.086 0.919 0.363  -0.01
H: 0.414 0.137 0.581  -0.01
H: 0.086 0.167 0.224  -0.01
H: 0.444 0.667 0.081  -0.01
H: 0.833 0.914 0.276  -0.01
H: 0.137 0.414 0.081  -0.01
H: 0.363 0.944 0.776  -0.01
H: 0.581 0.637 0.414  -0.01
H: 0.919 0.833 0.556  -0.01
H: 0.776 0.333 0.914  -0.01
H: 0.419 0.363 0.586  -0.01
H: 0.081 0.167 0.444  -0.01
H: 0.224 0.667 0.086  -0.01
H: 0.167 0.086 0.724  -0.01
H: 0.637 0.056 0.224  -0.01
H: 0.863 0.586 0.919  -0.01
H: 0.556 0.333 0.919  -0.01
H: 0.586 0.863 0.419  -0.01
H: 0.914 0.833 0.776  -0.01
H: 0.914 0.081 0.637  -0.01
H: 0.863 0.276 0.444  -0.01
H: 0.167 0.081 0.944  -0.01
H: 0.637 0.581 0.914  -0.01
H: 0.419 0.056 0.333  -0.01
H: 0.276 0.414 0.833  -0.01
H: 0.224 0.556 0.637  -0.01
H: 0.919 0.086 0.863  -0.01
H: 0.667 0.224 0.586  -0.01
H: 0.444 0.776 0.863  -0.01
H: 0.056 0.419 0.833  -0.01
H: 0.414 0.276 0.333  -0.01
H: 0.056 0.637 0.724  -0.01
H: 0.667 0.444 0.581  -0.01
H: 0.276 0.863 0.944  -0.01

=====

Below is a relaxed structure of FeHRh, with properties calculated at the PBE level.

Unit cell a=2.632 b=2.632 c=4.672 alpha=106.36 beta=106.36 gamma=90.00
Each line ends with the local moment (μB).
Element x y z (fractional)
H: 0.361 0.361 0.721  -0.03
Rh: 0.603 0.603 0.205  0.19
Fe: 0.887 0.887 0.773  2.08

=====

Below is a relaxed structure of FeHRh3, with properties calculated at the PBE level.

Unit cell a=4.228 b=4.228 c=7.674 alpha=90.00 beta=90.00 gamma=120.00
Each line ends with the local moment (μB).
Element x y z (fractional)
H: 0.000 0.000 0.000  0.01
H: 0.000 0.000 0.500  0.01
Rh: 0.000 0.000 0.250  0.18
Rh: 0.000 0.000 0.750  0.18
Rh: 0.333 0.667 0.077  0.24
Rh: 0.333 0.667 0.423  0.24
Rh: 0.667 0.333 0.577  0.24
Rh: 0.667 0.333 0.923  0.24
Fe: 0.333 0.667 0.750  2.74
Fe: 0.667 0.333 0.250  2.74

=====

Below is a relaxed structure of FeHRh3, with properties calculated at the PBE level.

Unit cell a=4.727 b=5.483 c=4.727 alpha=90.00 beta=109.37 gamma=90.00
Each line ends with the local moment (μB).
Element x y z (fractional)
H: 0.006 0.250 0.494  -0.01
H: 0.994 0.750 0.506  -0.01
Rh: 0.745 0.000 0.245  0.25
Rh: 0.255 0.000 0.755  0.25
Rh: 0.745 0.500 0.245  0.25
Rh: 0.255 0.500 0.755  0.25
Rh: 0.254 0.250 0.246  0.23
Rh: 0.746 0.750 0.754  0.23
Fe: 0.743 0.250 0.757  3.10
Fe: 0.257 0.750 0.243  3.10

=====

Below is a relaxed structure of FeHRu2Rh, with properties calculated at the PBE level.

Unit cell a=3.848 b=3.848 c=3.852 alpha=90.00 beta=90.00 gamma=90.00
Each line ends with the local moment (μB).
Element x y z (fractional)
Ru: 0.000 0.500 0.000  -0.12
Ru: 0.500 0.000 0.000  -0.12
Rh: 0.000 0.000 0.500  0.15
Fe: 0.500 0.500 0.500  2.70
H: 0.000 0.000 0.000  0.00

=====

Below is a relaxed structure of FeHRuRh2, with properties calculated at the PBE level.

Unit cell a=3.850 b=3.850 c=3.886 alpha=90.00 beta=90.00 gamma=90.00
Each line ends with the local moment (μB).
Element x y z (fractional)
Ru: 0.000 0.000 0.500  0.10
Rh: 0.000 0.500 0.000  0.21
Rh: 0.500 0.000 0.000  0.21
Fe: 0.500 0.500 0.500  2.98
H: 0.000 0.000 0.000  0.00

=====

Below is a relaxed structure of FeHRuRh2, with properties calculated at the PBE level.

Unit cell a=3.813 b=3.800 c=3.813 alpha=90.00 beta=90.00 gamma=90.00
Element x y z (fractional)
Ru: 0.500 0.500 0.500
Rh: 0.000 0.000 0.500
Rh: 0.500 0.000 0.000
Fe: 0.000 0.500 0.000
H: 0.000 0.000 0.000

=====

Below is a relaxed structure of FeHRu2Rh, with properties calculated at the PBE level.

Unit cell a=3.817 b=3.817 c=3.772 alpha=90.00 beta=90.00 gamma=90.00
Element x y z (fractional)
Ru: 0.000 0.500 0.000
Ru: 0.500 0.000 0.000
Rh: 0.500 0.500 0.500
Fe: 0.000 0.000 0.500
H: 0.000 0.000 0.000

=====

Below is a relaxed structure of Fe2SbHRh, with properties calculated at the PBE level.

Unit cell a=3.811 b=3.811 c=4.123 alpha=90.00 beta=90.00 gamma=90.00
Each line ends with the local moment (μB).
Element x y z (fractional)
Sb: 0.500 0.500 0.500  -0.06
Rh: 0.000 0.000 0.500  0.01
Fe: 0.000 0.500 0.000  2.29
Fe: 0.500 0.000 0.000  2.29
H: 0.000 0.000 0.000  -0.02

=====

Below is a relaxed structure of ScFeHRh2, with properties calculated at the PBE level.

Unit cell a=3.974 b=3.974 c=3.777 alpha=90.00 beta=90.00 gamma=90.00
Element x y z (fractional)
Sc: 0.500 0.500 0.500
H: 0.000 0.000 0.000
Rh: 0.000 0.500 0.000
Rh: 0.500 0.000 0.000
Fe: 0.000 0.000 0.500

=====

| no. | energy (eV per formula unit) | magnetization (μB/f.u.) |
| --- | --- | --- |
| 1 | -99.98 | 8.9 |
| 2 | -18.44 | 2.2 |
| 3 | -32.71 | 3.4 |
| 4 | -33.97 | 3.8 |
| 5 | -37.12 | 2.6 |
| 6 | -35.55 | 3.5 |
| 7 | -35.05 | 0.0 |
| 8 | -36.99 | 0.0 |
| 9 | -31.74 | 4.4 |
| 10 | -34.41 | 0.0 |